1.
Entry from Alexandria: RbNaFeCl4 after structural relaxation (PBE-GGA).

Cell: 6.898 7.156 8.793 Å, 90.00 107.26 90.00°
Space group P2_1/m (No. 11)
Symmetry-distinct sites (fractional):
1 Rb 0.246 0.250 0.440 (multiplicity 2)
2 Na 0.286 0.250 0.950 (multiplicity 2)
3 Fe 0.263 0.750 0.172 (multiplicity 2)
4 Cl 0.043 0.750 0.922 (multiplicity 2)
5 Cl 0.075 0.750 0.347 (multiplicity 2)
6 Cl 0.491 0.505 0.217 (multiplicity 4)

Calculated total energy = -55.50 eV/cell
Formation energy (no corrections) = -1373.2 meV per atom
DOS at the Fermi energy = 0.98 states/eV/atom

---

2.
Entry from Alexandria: Rb2ReRhF6 after structural relaxation (PBE-GGA).

Cell: 6.426 6.426 8.730 Å, 90.00 90.00 90.00°
Space group I4/mmm (No. 139)
Symmetry-distinct sites (fractional):
1 Rb 0.000 0.500 0.250 (multiplicity 4)
2 Re 0.000 0.000 0.000 (multiplicity 2)
3 Rh 0.000 0.000 0.500 (multiplicity 2)
4 F 0.000 0.000 0.235 (multiplicity 4)
5 F 0.224 0.224 0.000 (multiplicity 8)

Calculated total energy = -100.55 eV/cell
Formation energy (no corrections) = -1731.3 meV per atom
DOS at the Fermi energy = 0.79 states/eV/atom

---

3.
Entry from Alexandria: SiWC3 after structural relaxation (PBE-GGA).

Cell: 4.109 4.109 4.109 Å, 90.00 90.00 90.00°
Space group Pm-3m (No. 221)
Symmetry-distinct sites (fractional):
1 Si 0.000 0.000 0.000 (multiplicity 1)
2 W 0.500 0.500 0.500 (multiplicity 1)
3 C 0.000 0.500 0.500 (multiplicity 3)

Calculated total energy = -35.89 eV/cell
Formation energy (no corrections) = 2032.4 meV per atom
DOS at the Fermi energy = 0.80 states/eV/atom
Offset from the most stable computed form = 0.0 meV per atom

---

4.
Entry from Alexandria: HoCu2I6 after structural relaxation (PBE-GGA).

Cell: 16.408 12.845 7.367 Å, 90.00 98.37 90.00°
Space group C2/c (No. 15)
Symmetry-distinct sites (fractional):
1 Ho 0.000 0.093 0.250 (multiplicity 4)
2 Cu 0.115 0.423 0.300 (multiplicity 8)
3 I 0.108 0.075 0.616 (multiplicity 8)
4 I 0.118 0.253 0.131 (multiplicity 8)
5 I 0.124 0.406 0.643 (multiplicity 8)

Calculated total energy = -111.67 eV/cell
Formation energy (no corrections) = -649.5 meV per atom
DOS at the Fermi energy = 0.77 states/eV/atom

---

5.
Entry from Alexandria: BaIn2Br6 after structural relaxation (PBE-GGA).

Cell: 14.631 13.773 9.756 Å, 90.00 115.71 90.00°
Space group C2/c (No. 15)
Symmetry-distinct sites (fractional):
1 Ba 0.000 0.076 0.250 (multiplicity 4)
2 In 0.174 0.415 0.235 (multiplicity 8)
3 Br 0.113 0.088 0.628 (multiplicity 8)
4 Br 0.140 0.495 0.466 (multiplicity 8)
5 Br 0.159 0.219 0.211 (multiplicity 8)

Calculated total energy = -111.03 eV/cell
Formation energy (no corrections) = -1146.7 meV per atom
DOS at the Fermi energy = 0.36 states/eV/atom
Offset from the most stable computed form = 77.2 meV per atom

---

6.
Entry from Alexandria: AcPm3Pu2Se6 after structural relaxation (PBE-GGA).

Cell: 7.308 12.663 7.360 Å, 90.00 109.39 90.00°
Space group C2/m (No. 12)
Symmetry-distinct sites (fractional):
1 Ac 0.000 0.000 0.000 (multiplicity 2)
2 Pm 0.000 0.162 0.500 (multiplicity 4)
3 Pm 0.000 0.500 0.500 (multiplicity 2)
4 Pu 0.000 0.332 0.000 (multiplicity 4)
5 Se 0.237 0.500 0.250 (multiplicity 4)
6 Se 0.242 0.327 0.746 (multiplicity 8)

Calculated total energy = -177.59 eV/cell
Formation energy (no corrections) = -1738.8 meV per atom
DOS at the Fermi energy = 1.77 states/eV/atom

---

7.
Entry from Alexandria: Fe2SnHPd after structural relaxation (PBE-GGA).

Cell: 3.833 3.833 4.199 Å, 90.00 90.00 90.00°
Space group P4/mmm (No. 123)
Symmetry-distinct sites (fractional):
1 Fe 0.000 0.500 0.000 (multiplicity 2)
2 Sn 0.000 0.000 0.500 (multiplicity 1)
3 H 0.500 0.500 0.000 (multiplicity 1)
4 Pd 0.500 0.500 0.500 (multiplicity 1)

Calculated total energy = -29.62 eV/cell
DOS at the Fermi energy = 0.64 states/eV/atom

---

8.
Entry from Alexandria: PrSmBr after structural relaxation (PBE-GGA).

Cell: 6.647 3.835 15.146 Å, 90.00 90.02 90.00°
Space group C2/m (No. 12)
Symmetry-distinct sites (fractional):
1 Pr 0.167 0.000 0.096 (multiplicity 4)
2 Sm 0.166 0.000 0.409 (multiplicity 4)
3 Br 0.001 0.500 0.743 (multiplicity 4)

Calculated total energy = -53.84 eV/cell
Formation energy (no corrections) = -762.6 meV per atom
DOS at the Fermi energy = 1.10 states/eV/atom
Offset from the most stable computed form = 0.0 meV per atom

---

> Number 1 is which compound?

RbNaFeCl4